# 1
ZrFeOsPb: optimized geometry, PBE.

Calculated values
Energy above the most stable polymorph in this dataset, meV per atom: 0.0
SG: F-43m, No. 216
Electronic total energy, eV/atom: -7.78
Total magnetization, Bohr magnetons per cell: 0.00

a = 4.5906 Å, b = 4.5906 Å, c = 4.5906 Å
α = 60.00°, β = 60.00°, γ = 60.00°
Element x y z (fractional)
Zr  0.5000  0.5000  0.5000
Pb  0.0000  0.0000  0.0000
Fe  0.7500  0.7500  0.7500
Os  0.2500  0.2500  0.2500

=====

# 2
ZrFeOsPb: optimized geometry, PBE.

Calculated values
Energy above the most stable polymorph in this dataset, meV per atom: 268.1
SG: F-43m, No. 216
Electronic total energy, eV/atom: -7.52
Total magnetization, Bohr magnetons per cell: 3.87

a = 4.6412 Å, b = 4.6412 Å, c = 4.6412 Å
α = 60.00°, β = 60.00°, γ = 60.00°
Element x y z (fractional)
Pb  0.0000  0.0000  0.0000
Os  0.5000  0.5000  0.5000
Zr  0.2500  0.2500  0.2500
Fe  0.7500  0.7500  0.7500

=====

# 3
FeOsPd: optimized geometry, PBE.

Calculated values
Calculated formation energy, eV/f.u.: 1.75
Energy above the most stable polymorph in this dataset, meV per atom: 0.0
SG: F-43m, No. 216
Electronic total energy, eV/atom: -7.65
Total magnetization, Bohr magnetons per cell: 1.79

a = 4.0094 Å, b = 4.0094 Å, c = 4.0094 Å
α = 60.00°, β = 60.00°, γ = 60.00°
Element x y z (fractional)
Os  0.2500  0.2500  0.2500
Fe  0.0000  0.0000  0.0000
Pd  0.7500  0.7500  0.7500

=====

# 4
FeSbOsPd: optimized geometry, PBE.

Calculated values
Energy above the most stable polymorph in this dataset, meV per atom: 0.0
SG: F-43m, No. 216
Electronic total energy, eV/atom: -6.93
Total magnetization, Bohr magnetons per cell: 2.64

a = 4.4433 Å, b = 4.4433 Å, c = 4.4433 Å
α = 60.00°, β = 60.00°, γ = 60.00°
Element x y z (fractional)
Sb  0.0000  0.0000  0.0000
Fe  0.7500  0.7500  0.7500
Os  0.2500  0.2500  0.2500
Pd  0.5000  0.5000  0.5000

=====

# 5
FeSbOsPt: optimized geometry, PBE.

Calculated values
Energy above the most stable polymorph in this dataset, meV per atom: 0.0
SG: F-43m, No. 216
Electronic total energy, eV/atom: -7.14
Total magnetization, Bohr magnetons per cell: 2.63

a = 4.4631 Å, b = 4.4631 Å, c = 4.4631 Å
α = 60.00°, β = 60.00°, γ = 60.00°
Element x y z (fractional)
Fe  0.7500  0.7500  0.7500
Os  0.2500  0.2500  0.2500
Sb  0.0000  0.0000  0.0000
Pt  0.5000  0.5000  0.5000

=====

# 6
FeSiOsPt: optimized geometry, PBE.

Calculated values
Energy above the most stable polymorph in this dataset, meV per atom: 0.0
SG: F-43m, No. 216
Electronic total energy, eV/atom: -7.69
Total magnetization, Bohr magnetons per cell: 2.18

a = 4.2609 Å, b = 4.2609 Å, c = 4.2609 Å
α = 60.00°, β = 60.00°, γ = 60.00°
Element x y z (fractional)
Si  0.0000  0.0000  0.0000
Os  0.2500  0.2500  0.2500
Pt  0.5000  0.5000  0.5000
Fe  0.7500  0.7500  0.7500